Entry 1:
Below is a relaxed structure of CePrY2, with properties calculated at the PBE-GGA level.

abc: 5.0414 5.1055 5.1055
angles: 90.00 90.00 90.00
With the nearest neighbours (Å) after each atom.
Fractional positions:
Y 0.0000 0.5000 0.0000  4 Ce 3.59, 4 Pr 3.59, 4 Y 3.61
Ce 0.5000 0.5000 0.5000  8 Y 3.59, 4 Pr 3.61
Pr 0.5000 0.0000 0.0000  8 Y 3.59, 4 Ce 3.61
Y 0.0000 0.0000 0.5000  4 Ce 3.59, 4 Pr 3.59, 4 Y 3.61

uncorrected energy = -5.83 eV per atom
DFT formation energy = 80 meV/atom
space group = P4/mmm, No. 123


Entry 2:
Below is a relaxed structure of CePr8Y4, with properties calculated at the PBE-GGA level.

abc: 7.4865 7.4868 10.2537
angles: 89.98 111.43 119.99
With the nearest neighbours (Å) after each atom.
Fractional positions:
Pr 0.9472 0.2030 0.6915  1 Ce 2.94
Pr 0.4885 0.7443 0.6915  1 Ce 2.94
Pr 0.5115 0.2557 0.3085  1 Ce 2.94
Pr 0.0527 0.2557 0.3084  1 Ce 2.94
Ce 0.0000 0.5000 0.5000  6 Pr 2.94
Y 0.0000 0.0000 0.0000  6 Pr 3.49, 6 Y 3.74
Pr 0.0528 0.7970 0.3085  1 Ce 2.94
Y 0.5000 0.0000 0.0000  6 Pr 3.65-3.80, 6 Y 3.74
Pr 0.9473 0.7443 0.6916  1 Ce 2.94
Pr 0.4422 0.2212 0.6633  9 Pr 3.76-3.85, 3 Y 3.80
Y 0.0000 0.5000 0.0000  6 Pr 3.65-3.80, 6 Y 3.74
Y 0.5000 0.5000 0.0000  6 Pr 3.65-3.80, 6 Y 3.74
Pr 0.5578 0.7788 0.3367  9 Pr 3.76-3.85, 3 Y 3.80

uncorrected energy = -5.25 eV per atom
DFT formation energy = 141 meV/atom
space group = R-3m, No. 166


Entry 3:
Below is a relaxed structure of CePr4Y10, with properties calculated at the PBE-GGA level.

abc: 8.0257 8.9866 8.9866
angles: 78.50 63.48 63.48
With the nearest neighbours (Å) after each atom.
Fractional positions:
Pr 0.7737 0.0004 0.4522  8 Y 3.49-3.61, 1 Ce 3.64
Y 0.2500 0.5000 0.5000  4 Y 3.35
Y 0.2926 0.7934 0.2067  1 Ce 3.32, 4 Y 3.32-3.35, 4 Pr 3.49-3.61
Y 0.2928 0.2066 0.7933  1 Ce 3.32, 4 Y 3.32-3.35, 4 Pr 3.49-3.61
Pr 0.7741 0.4522 0.9996  8 Y 3.49-3.61, 1 Ce 3.64
Ce 0.0000 0.0000 0.0000  8 Y 3.32, 4 Pr 3.64
Y 0.9139 0.7933 0.7934  1 Ce 3.32, 4 Y 3.32-3.35, 4 Pr 3.49-3.61
Y 0.7072 0.7934 0.2067  1 Ce 3.32, 4 Y 3.32-3.35, 4 Pr 3.49-3.61
Y 0.7074 0.2066 0.7933  1 Ce 3.32, 4 Y 3.32-3.35, 4 Pr 3.49-3.61
Y 0.7500 0.5000 0.5000  4 Y 3.35
Pr 0.2263 0.9996 0.5478  8 Y 3.49-3.61, 1 Ce 3.64
Y 0.4994 0.7933 0.7934  1 Ce 3.32, 4 Y 3.32-3.35, 4 Pr 3.49-3.61
Y 0.0861 0.2067 0.2066  1 Ce 3.32, 4 Y 3.32-3.35, 4 Pr 3.49-3.61
Pr 0.2259 0.5478 0.0004  8 Y 3.49-3.61, 1 Ce 3.64
Y 0.5006 0.2067 0.2066  1 Ce 3.32, 4 Y 3.32-3.35, 4 Pr 3.49-3.61

uncorrected energy = -5.72 eV per atom
DFT formation energy = 262 meV/atom
space group = I4/mmm, No. 139


Entry 4:
Below is a relaxed structure of Ce2PrY, with properties calculated at the PBE-GGA level.

abc: 5.7263 5.7263 5.7263
angles: 60.00 60.00 60.00
With the nearest neighbours (Å) after each atom.
Fractional positions:
Ce 0.2500 0.2500 0.2500  4 Pr 3.51, 4 Y 3.51
Ce 0.7500 0.7500 0.7500  4 Pr 3.51, 4 Y 3.51
Y 0.5000 0.5000 0.5000  8 Ce 3.51
Pr 0.0000 0.0000 0.0000  8 Ce 3.51

uncorrected energy = -5.50 eV per atom
DFT formation energy = 274 meV/atom
space group = Fm-3m, No. 225